# 1
A geometry-optimized Y2Cd2Pb structure, computed with GGA-PBE.

Output
Total magnetization in Bohr magnetons per cell: 0.00
Energy above the most stable polymorph in this dataset in meV/atom: 184
Total energy in eV/atom: -3.8245
DFT formation energy in eV/atom: -0.13

Cell: 9.5426 9.5426 9.5426 Å, 155.95 155.95 34.27°
Fractional coordinates of all 5 atoms:
Y1 0.1013 0.1013 0.0000
Y2 0.8987 0.8987 0.0000
Cd1 0.2500 0.7500 0.5000
Cd2 0.7500 0.2500 0.5000
Pb1 0.5000 0.5000 0.0000


# 2
A geometry-optimized YCdPb structure, computed with GGA-PBE.

Output
Total magnetization in Bohr magnetons per cell: 0.00
Total energy in eV/atom: -3.9908
DFT formation energy in eV/atom: -0.29

Cell: 5.0305 5.0305 3.6690 Å, 90.00 90.00 120.00°
Fractional coordinates of all 3 atoms:
Y1 0.0000 0.0000 0.0000
Cd1 0.6667 0.3333 0.3803
Pb1 0.3333 0.6667 0.5936


# 3
A geometry-optimized YCd2Pb2 structure, computed with GGA-PBE.

Output
Total magnetization in Bohr magnetons per cell: 0.00
Energy above the most stable polymorph in this dataset in meV/atom: 272
Total energy in eV/atom: -3.1198
DFT formation energy in eV/atom: 0.02

Cell: 7.4653 7.4653 7.4653 Å, 143.54 143.54 52.51°
Fractional coordinates of all 5 atoms:
Y1 0.0000 0.0000 0.0000
Cd1 0.4008 0.4008 0.0000
Cd2 0.5992 0.5992 0.0000
Pb1 0.2500 0.7500 0.5000
Pb2 0.7500 0.2500 0.5000


# 4
A geometry-optimized Y2CdPb structure, computed with GGA-PBE.

Output
Total magnetization in Bohr magnetons per cell: 0.00
Total energy in eV/atom: -4.6872
DFT formation energy in eV/atom: -0.30

Cell: 5.1646 5.1646 6.7554 Å, 100.62 100.62 41.72°
Fractional coordinates of all 4 atoms:
Y1 0.2487 0.2487 0.2570
Y2 0.7513 0.7513 0.7430
Cd1 0.0000 0.0000 0.5000
Pb1 0.5000 0.5000 0.0000


# 5
A geometry-optimized YCdPb6 structure, computed with GGA-PBE.

Output
Total magnetization in Bohr magnetons per cell: 0.00
Total energy in eV/atom: -3.7986
DFT formation energy in eV/atom: -0.09

Cell: 6.8038 6.8038 5.0998 Å, 90.00 90.00 90.21°
Fractional coordinates of all 8 atoms:
Y1 0.0000 0.0000 0.0000
Cd1 0.5000 0.5000 0.0000
Pb1 0.0000 0.5000 0.0000
Pb2 0.2527 0.7472 0.5000
Pb3 0.2546 0.2546 0.5000
Pb4 0.5000 0.0000 0.0000
Pb5 0.7454 0.7454 0.5000
Pb6 0.7472 0.2527 0.5000


# 6
A geometry-optimized YCdPb2 structure, computed with GGA-PBE.

Output
Total magnetization in Bohr magnetons per cell: 0.00
Total energy in eV/atom: -3.9628
DFT formation energy in eV/atom: -0.26

Cell: 5.9988 5.9988 5.9988 Å, 133.88 133.88 67.28°
Fractional coordinates of all 4 atoms:
Y1 0.0000 0.0000 0.0000
Cd1 0.5000 0.5000 0.0000
Pb1 0.2500 0.7500 0.5000
Pb2 0.7500 0.2500 0.5000


# 7
A geometry-optimized Y2CdPb2 structure, computed with GGA-PBE.

Output
Total magnetization in Bohr magnetons per cell: 0.00
Energy above the most stable polymorph in this dataset in meV/atom: 0
Total energy in eV/atom: -4.6352
DFT formation energy in eV/atom: -0.38

Cell: 7.8917 7.8917 4.5111 Å, 90.00 90.00 90.00°
Fractional coordinates of all 10 atoms:
Y1 0.1730 0.3270 0.0000
Y2 0.3270 0.8270 0.0000
Y3 0.6730 0.1730 0.0000
Y4 0.8270 0.6730 0.0000
Cd1 0.0000 0.0000 0.5000
Cd2 0.5000 0.5000 0.5000
Pb1 0.1347 0.6347 0.5000
Pb2 0.3653 0.1347 0.5000
Pb3 0.6347 0.8653 0.5000
Pb4 0.8653 0.3653 0.5000


# 8
A geometry-optimized YCdPb structure, computed with GGA-PBE.

Output
Total magnetization in Bohr magnetons per cell: 0.00
Total energy in eV/atom: -3.8081
DFT formation energy in eV/atom: -0.11

Cell: 5.0424 5.0424 5.0424 Å, 60.00 60.00 60.00°
Fractional coordinates of all 3 atoms:
Y1 0.0000 0.0000 0.0000
Cd1 0.5000 0.5000 0.5000
Pb1 0.7500 0.7500 0.7500


Question: Which formula does entry 8 have?
Answer: YCdPb


Copy entry 1 word for word.
A geometry-optimized Y2Cd2Pb structure, computed with GGA-PBE.

Output
Total magnetization in Bohr magnetons per cell: 0.00
Energy above the most stable polymorph in this dataset in meV/atom: 184
Total energy in eV/atom: -3.8245
DFT formation energy in eV/atom: -0.13

Cell: 9.5426 9.5426 9.5426 Å, 155.95 155.95 34.27°
Fractional coordinates of all 5 atoms:
Y1 0.1013 0.1013 0.0000
Y2 0.8987 0.8987 0.0000
Cd1 0.2500 0.7500 0.5000
Cd2 0.7500 0.2500 0.5000
Pb1 0.5000 0.5000 0.0000


Please write out number 4 again, unchanged.
A geometry-optimized Y2CdPb structure, computed with GGA-PBE.

Output
Total magnetization in Bohr magnetons per cell: 0.00
Total energy in eV/atom: -4.6872
DFT formation energy in eV/atom: -0.30

Cell: 5.1646 5.1646 6.7554 Å, 100.62 100.62 41.72°
Fractional coordinates of all 4 atoms:
Y1 0.2487 0.2487 0.2570
Y2 0.7513 0.7513 0.7430
Cd1 0.0000 0.0000 0.5000
Pb1 0.5000 0.5000 0.0000


Repeat the fourth record exactly.
A geometry-optimized Y2CdPb structure, computed with GGA-PBE.

Output
Total magnetization in Bohr magnetons per cell: 0.00
Total energy in eV/atom: -4.6872
DFT formation energy in eV/atom: -0.30

Cell: 5.1646 5.1646 6.7554 Å, 100.62 100.62 41.72°
Fractional coordinates of all 4 atoms:
Y1 0.2487 0.2487 0.2570
Y2 0.7513 0.7513 0.7430
Cd1 0.0000 0.0000 0.5000
Pb1 0.5000 0.5000 0.0000